Here is an optimized crystal structure of TmGeAsO from the Open Quantum Materials Database. Energies are from PBE-GGA.

abc: 3.8085 7.2464 6.4384
angles: 90.00 90.00 90.00
Fractional coordinates of all 8 atoms:
Tm: 0.0000 0.2007 0.4625
As: 0.0000 0.1865 0.9038
As: 0.0000 0.8135 0.4038
O: 0.5000 0.2401 0.3296
Ge: 0.5000 0.3690 0.0580
Ge: 0.5000 0.6310 0.5580
O: 0.5000 0.7599 0.8296
Tm: 0.0000 0.7993 0.9625

- V: 177.7 Å³ per cell
- E above lowest polymorph: 50 kJ/mol of formula units



Here is an optimized crystal structure of TmGeAsO from the Open Quantum Materials Database. Energies are from PBE-GGA.

abc: 3.9138 3.9138 9.6505
angles: 90.00 90.00 90.00
Fractional coordinates of all 8 atoms:
Ge: 0.0000 0.0000 0.5000
Tm: 0.5000 0.0000 0.1081
Tm: 0.0000 0.5000 0.8919
As: 0.0000 0.5000 0.2881
As: 0.5000 0.0000 0.7119
O: 0.0000 0.0000 0.0000
O: 0.5000 0.5000 0.0000
Ge: 0.5000 0.5000 0.5000

- V: 147.8 Å³ per cell
- E above lowest polymorph: 0 kJ/mol of formula units



Here is an optimized crystal structure of ZnGeAsO from the Open Quantum Materials Database. Energies are from PBE-GGA.

abc: 4.0354 5.8814 5.7972
angles: 90.00 90.00 90.00
Fractional coordinates of all 8 atoms:
As: 0.0000 0.6873 0.8775
Ge: 0.0000 0.2704 0.9516
Ge: 0.0000 0.7296 0.4516
As: 0.0000 0.3127 0.3775
O: 0.5000 0.8297 0.3895
O: 0.5000 0.1703 0.8895
Zn: 0.5000 0.8468 0.0354
Zn: 0.5000 0.1532 0.5354

- V: 137.6 Å³ per cell
- E above lowest polymorph: 0 kJ/mol of formula units



Here is an optimized crystal structure of ZnGeAsO from the Open Quantum Materials Database. Energies are from PBE-GGA.

abc: 4.1891 4.1891 8.6287
angles: 90.00 90.00 90.00
Fractional coordinates of all 8 atoms:
Ge: 0.7500 0.2500 0.5000
Zn: 0.7500 0.7500 0.0092
O: 0.7500 0.2500 0.0000
As: 0.2500 0.2500 0.6685
Ge: 0.2500 0.7500 0.5000
As: 0.7500 0.7500 0.3315
Zn: 0.2500 0.2500 0.9909
O: 0.2500 0.7500 0.0000

- V: 151.4 Å³ per cell
- E above lowest polymorph: 42 kJ/mol of formula units



Here is an optimized crystal structure of ZnGeAsO from the Open Quantum Materials Database. Energies are from PBE-GGA.

abc: 3.7038 3.7038 9.5209
angles: 90.00 90.00 90.00
Fractional coordinates of all 8 atoms:
Ge: 0.0000 0.5000 0.8924
As: 0.5000 0.0000 0.6824
Zn: 0.5000 0.5000 0.5000
Ge: 0.5000 0.0000 0.1076
O: 0.5000 0.5000 0.0000
As: 0.0000 0.5000 0.3176
Zn: 0.0000 0.0000 0.5000
O: 0.0000 0.0000 0.0000

- V: 130.6 Å³ per cell
- E above lowest polymorph: 22 kJ/mol of formula units



Here is an optimized crystal structure of ZnGeAsO from the Open Quantum Materials Database. Energies are from PBE-GGA.

abc: 3.6436 6.1450 6.4488
angles: 90.00 90.00 90.00
Fractional coordinates of all 8 atoms:
As: 0.0000 0.6445 0.8503
O: 0.5000 0.8862 0.4004
O: 0.5000 0.1138 0.9004
As: 0.0000 0.3555 0.3503
Ge: 0.5000 0.8356 0.0275
Zn: 0.0000 0.2665 0.9758
Ge: 0.5000 0.1644 0.5275
Zn: 0.0000 0.7335 0.4758

- V: 144.4 Å³ per cell
- E above lowest polymorph: 10 kJ/mol of formula units



Here is an optimized crystal structure of ZrGeAsO from the Open Quantum Materials Database. Energies are from PBE-GGA.

abc: 3.6282 3.6282 10.2877
angles: 90.00 90.00 90.00
Fractional coordinates of all 8 atoms:
Ge: 0.5000 0.5000 0.5000
O: 0.0000 0.0000 0.0000
O: 0.5000 0.5000 0.0000
Zr: 0.0000 0.5000 0.8792
Ge: 0.0000 0.0000 0.5000
As: 0.0000 0.5000 0.2619
Zr: 0.5000 0.0000 0.1208
As: 0.5000 0.0000 0.7381

- V: 135.4 Å³ per cell
- E above lowest polymorph: 0 kJ/mol of formula units



Here is an optimized crystal structure of ZrGeAsO from the Open Quantum Materials Database. Energies are from PBE-GGA.

abc: 3.8278 7.8719 5.4481
angles: 90.00 90.00 90.00
Fractional coordinates of all 8 atoms:
O: 0.5000 0.2701 0.8847
As: 0.0000 0.7073 0.8964
Ge: 0.5000 0.8923 0.0689
Zr: 0.0000 0.3624 0.9041
O: 0.5000 0.7299 0.3847
As: 0.0000 0.2927 0.3964
Zr: 0.0000 0.6376 0.4041
Ge: 0.5000 0.1077 0.5689

- V: 164.2 Å³ per cell
- E above lowest polymorph: 63 kJ/mol of formula units



Here is an optimized crystal structure of ZrGeAsO from the Open Quantum Materials Database. Energies are from PBE-GGA.

abc: 3.9280 6.2995 6.2451
angles: 90.00 90.00 90.00
Fractional coordinates of all 8 atoms:
Zr: 0.5000 0.0642 0.6040
Ge: 0.0000 0.3558 0.9205
Zr: 0.5000 0.9358 0.1040
O: 0.5000 0.2226 0.9125
As: 0.0000 0.1837 0.3170
O: 0.5000 0.7774 0.4125
As: 0.0000 0.8163 0.8170
Ge: 0.0000 0.6442 0.4205

- V: 154.5 Å³ per cell
- E above lowest polymorph: 111 kJ/mol of formula units



Here is an optimized crystal structure of ZrGeAsO from the Open Quantum Materials Database. Energies are from PBE-GGA.

abc: 5.1145 5.1145 4.9712
angles: 90.00 90.00 90.00
Fractional coordinates of all 8 atoms:
As: 0.5000 0.0000 0.6694
Ge: 0.0000 0.5000 0.8529
O: 0.5000 0.5000 0.0000
Zr: 0.5000 0.5000 0.5000
Ge: 0.5000 0.0000 0.1471
As: 0.0000 0.5000 0.3306
Zr: 0.0000 0.0000 0.5000
O: 0.0000 0.0000 0.0000

- V: 130.0 Å³ per cell
- E above lowest polymorph: 234 kJ/mol of formula units



Here is an optimized crystal structure of ZrGeAsO from the Open Quantum Materials Database. Energies are from PBE-GGA.

abc: 4.2652 4.2652 8.0987
angles: 90.00 90.00 90.00
Fractional coordinates of all 8 atoms:
O: 0.7500 0.2500 0.0000
O: 0.2500 0.7500 0.0000
As: 0.2500 0.2500 0.6991
Zr: 0.2500 0.7500 0.5000
Ge: 0.2500 0.2500 0.0879
As: 0.7500 0.7500 0.3009
Ge: 0.7500 0.7500 0.9121
Zr: 0.7500 0.2500 0.5000

- V: 147.3 Å³ per cell
- E above lowest polymorph: 298 kJ/mol of formula units



Here is an optimized crystal structure of GeAsOs from the Open Quantum Materials Database. Energies are from PBE-GGA.

abc: 4.2293 4.2293 4.2293
angles: 60.00 60.00 60.00
Fractional coordinates of all 3 atoms:
As: 0.2500 0.2500 0.2500
Os: 0.0000 0.0000 0.0000
Ge: 0.7500 0.7500 0.7500

- V: 53.5 Å³ per cell
- E above lowest polymorph: 0 kJ/mol of formula units



Here is an optimized crystal structure of GeAsOs from the Open Quantum Materials Database. Energies are from PBE-GGA.

abc: 4.2545 4.2545 4.2545
angles: 60.00 60.00 60.00
Fractional coordinates of all 3 atoms:
Ge: 0.0000 0.0000 0.0000
As: 0.2500 0.2500 0.2500
Os: 0.7500 0.7500 0.7500

- V: 54.5 Å³ per cell
- E above lowest polymorph: 193 kJ/mol of formula units



Here is an optimized crystal structure of Ge2As2Os3 from the Open Quantum Materials Database. Energies are from PBE-GGA.

abc: 7.6084 7.6084 7.6084
angles: 32.28 32.28 32.28
Fractional coordinates of all 7 atoms:
As: 0.0072 0.0072 0.0072
Os: 0.8766 0.8766 0.8766
Os: 0.6249 0.6249 0.6249
Os: 0.3716 0.3716 0.3716
Ge: 0.2447 0.2447 0.2447
As: 0.4949 0.4949 0.4949
Ge: 0.7551 0.7551 0.7551

- V: 111.7 Å³ per cell



Here is an optimized crystal structure of Tm2Ge2As3P from the Open Quantum Materials Database. Energies are from PBE-GGA.

abc: 6.9645 6.9645 6.6659
angles: 102.94 102.94 35.49
Fractional coordinates of all 8 atoms:
As: 0.5457 0.4543 0.5000
Tm: 0.9249 0.8211 0.6205
As: 0.3150 0.2127 0.7796
P: 0.0019 0.9981 0.0000
Ge: 0.4877 0.7415 0.8793
As: 0.7873 0.6850 0.2204
Ge: 0.2585 0.5123 0.1207
Tm: 0.1789 0.0751 0.3795

- V: 182.4 Å³ per cell



Here is an optimized crystal structure of ZnGeAsP from the Open Quantum Materials Database. Energies are from PBE-GGA.

abc: 6.8164 6.8164 6.8164
angles: 131.52 131.23 71.22
Fractional coordinates of all 8 atoms:
As: 0.2500 0.0058 0.7558
As: 0.7500 0.4942 0.7442
Zn: 0.6344 0.3844 0.2500
P: 0.0074 0.2500 0.2574
Zn: 0.8656 0.1156 0.7500
Ge: 0.3723 0.6223 0.7500
P: 0.4926 0.7500 0.2426
Ge: 0.1277 0.8777 0.2500

- V: 174.6 Å³ per cell
- E above lowest polymorph: 1 kJ/mol of formula units



Here is an optimized crystal structure of ZnGeAsP from the Open Quantum Materials Database. Energies are from PBE-GGA.

abc: 5.6175 5.6175 6.7930
angles: 114.24 114.24 90.01
Fractional coordinates of all 8 atoms:
P: 0.3764 0.6241 0.7499
Ge: 0.7360 0.4998 0.0000
Ge: 0.4998 0.7360 0.5000
As: 0.1244 0.8739 0.2501
As: 0.8739 0.1244 0.7501
Zn: 0.9997 0.2657 0.5000
Zn: 0.2657 0.9997 0.0000
P: 0.6241 0.3764 0.2499

- V: 174.5 Å³ per cell
- E above lowest polymorph: 0 kJ/mol of formula units



Here is an optimized crystal structure of Pa2GeAs from the Open Quantum Materials Database. Energies are from PBE-GGA.

abc: 4.1202 5.8158 8.2153
angles: 90.00 90.00 90.00
Fractional coordinates of all 8 atoms:
Pa: 0.0000 0.5000 0.8754
Pa: 0.5000 0.0000 0.6251
As: 0.5000 0.5000 0.1252
Ge: 0.5000 0.5000 0.6255
Pa: 0.0000 0.5000 0.3749
As: 0.0000 0.0000 0.8748
Pa: 0.5000 0.0000 0.1246
Ge: 0.0000 0.0000 0.3745

- V: 196.9 Å³ per cell



Here is an optimized crystal structure of Zn2GeAs4Pb from the Open Quantum Materials Database. Energies are from PBE-GGA.

abc: 7.2177 7.2177 7.2177
angles: 131.84 131.84 70.48
Fractional coordinates of all 8 atoms:
Pb: 0.2500 0.7500 0.5000
As: 0.3877 0.3493 0.5034
Zn: 0.0000 0.0000 0.0000
As: 0.8459 0.8843 0.4966
Zn: 0.7500 0.2500 0.5000
As: 0.6507 0.1541 0.0384
Ge: 0.5000 0.5000 0.0000
As: 0.1157 0.6123 0.9616

- V: 204.5 Å³ per cell



Here is an optimized crystal structure of PrGeAs3Pd6 from the Open Quantum Materials Database. Energies are from PBE-GGA.

abc: 7.4028 7.4028 4.0496
angles: 90.00 90.00 120.00
Fractional coordinates of all 11 atoms:
Pd: 0.2657 0.1328 0.5000
As: 0.4773 0.5227 0.5000
Pd: 0.2018 0.7982 0.0000
Pd: 0.8672 0.1328 0.5000
Ge: 0.0000 0.0000 0.0000
As: 0.4773 0.9546 0.5000
As: 0.0454 0.5227 0.5000
Pr: 0.6667 0.3333 0.0000
Pd: 0.2018 0.4035 0.0000
Pd: 0.8672 0.7343 0.5000
Pd: 0.5965 0.7982 0.0000

- V: 192.2 Å³ per cell



Uncorrected energy, record by record: -6.04, -6.17, -4.37, -4.26, -4.31, -4.35, -6.96, -6.80, -6.68, -6.36, -6.19, -6.66, -5.99, -7.21, -5.23, -4.17, -4.17, -7.82, -3.78, -5.57 eV per atom